DFT (PBEsol) results for crystalline PmErTl2 at its relaxed geometry.

```
PmErTl2
1.0
0.0000 3.7515 3.7515
3.7515 0.0000 3.7515
3.7515 3.7515 0.0000
Pm Er Tl
1 1 2
Direct
0.0000 0.0000 0.0000
0.5000 0.5000 0.5000
0.2500 0.2500 0.2500
0.7500 0.7500 0.7500
```

Energy of formation in eV per atom: -0.42
Space-group type: Fm-3m
DOS(E_F) in states/eV per cell: 3.5
Volume in Å³/cell: 106

---

DFT (PBEsol) results for crystalline PmErZn2 at its relaxed geometry.

```
PmErZn2
1.0
0.0000 3.5291 3.5291
3.5291 0.0000 3.5291
3.5291 3.5291 0.0000
Pm Er Zn
1 1 2
Direct
0.0000 0.0000 0.0000
0.5000 0.5000 0.5000
0.2500 0.2500 0.2500
0.7500 0.7500 0.7500
```

Energy of formation in eV per atom: -0.32
Space-group type: Fm-3m
DOS(E_F) in states/eV per cell: 4.3
Volume in Å³/cell: 88

---

DFT (PBEsol) results for crystalline PrEr3 at its relaxed geometry.

```
PrEr3
1.0
4.9266 0.0000 0.0000
0.0000 4.9266 0.0000
0.0000 0.0000 4.9266
Pr Er
1 3
Direct
0.0000 0.0000 0.0000
0.0000 0.5000 0.5000
0.5000 0.0000 0.5000
0.5000 0.5000 0.0000
```

Energy of formation in eV per atom: 0.02
Space-group type: Pm-3m
DOS(E_F) in states/eV per cell: 5.1
Volume in Å³/cell: 120

---

DFT (PBEsol) results for crystalline PrEr3 at its relaxed geometry.

```
PrEr3
1.0
-2.4699 2.4699 4.9072
2.4699 -2.4699 4.9072
2.4699 2.4699 -4.9072
Pr Er
1 3
Direct
0.0000 0.0000 0.0000
0.2500 0.7500 0.5000
0.5000 0.5000 0.0000
0.7500 0.2500 0.5000
```

Energy of formation in eV per atom: 0.02
Space-group type: I4/mmm
DOS(E_F) in states/eV per cell: 5.4
Volume in Å³/cell: 120